1.
Computed, not measured: a relaxed K3ReB crystal at the PBE level of DFT.

abc: 5.897 5.897 5.897
angles: 90.00 90.00 90.00
Element x y z (fractional)
K: 0.000 0.000 0.500
K: 0.000 0.500 0.000
K: 0.500 0.000 0.000
Re: 0.500 0.500 0.500
B: 0.000 0.000 0.000

excess energy over the best structure of this formula in the dataset: 0.0 meV/atom
symmetry: No. 221
formation energy from the elements: 2.02 eV/atom

2.
Computed, not measured: a relaxed Ce3SbO crystal at the PBE level of DFT.

abc: 4.841 4.841 4.841
angles: 90.00 90.00 90.00
Element x y z (fractional)
Ce: 0.000 0.000 0.500
Ce: 0.000 0.500 0.000
Ce: 0.500 0.000 0.000
Sb: 0.500 0.500 0.500
O: 0.000 0.000 0.000

excess energy over the best structure of this formula in the dataset: 0.0 meV/atom
symmetry: No. 221

3.
Computed, not measured: a relaxed CaMg2Re crystal at the PBE level of DFT.

abc: 2.866 4.819 6.157
angles: 90.00 102.68 90.00
Element x y z (fractional)
Ca: 0.000 0.000 0.000
Mg: 0.369 0.000 0.536
Mg: 0.703 0.500 0.330
Re: 0.357 0.500 0.768

excess energy over the best structure of this formula in the dataset: 58.7 meV/atom
symmetry: No. 6
formation energy from the elements: 0.47 eV/atom

4.
Computed, not measured: a relaxed TlP3 crystal at the PBE level of DFT.

abc: 8.549 4.880 9.325
angles: 90.00 90.00 90.00
Element x y z (fractional)
Tl: 0.034 0.250 0.154
Tl: 0.466 0.750 0.654
Tl: 0.534 0.250 0.346
Tl: 0.966 0.750 0.846
P: 0.061 0.250 0.616
P: 0.186 0.521 0.452
P: 0.186 0.979 0.452
P: 0.314 0.021 0.952
P: 0.314 0.479 0.952
P: 0.439 0.750 0.116
P: 0.561 0.250 0.884
P: 0.686 0.521 0.048
P: 0.686 0.979 0.048
P: 0.814 0.021 0.548
P: 0.814 0.479 0.548
P: 0.939 0.750 0.384

symmetry: No. 62
formation energy from the elements: 0.29 eV/atom

5.
Computed, not measured: a relaxed LiMoCl4 crystal at the PBE level of DFT.

abc: 3.678 6.467 6.726
angles: 96.12 105.62 90.03
Element x y z (fractional)
Li: 0.000 0.000 0.000
Mo: 0.500 0.500 0.000
Cl: 0.107 0.382 0.218
Cl: 0.400 0.158 0.798
Cl: 0.600 0.842 0.202
Cl: 0.893 0.618 0.782

excess energy over the best structure of this formula in the dataset: 0.0 meV/atom
symmetry: No. 2

6.
Computed, not measured: a relaxed TlGe2Rh crystal at the PBE level of DFT.

abc: 4.759 4.759 4.759
angles: 60.00 60.00 60.00
Element x y z (fractional)
Tl: 0.000 0.000 0.000
Ge: 0.250 0.250 0.250
Ge: 0.750 0.750 0.750
Rh: 0.500 0.500 0.500

excess energy over the best structure of this formula in the dataset: 303.4 meV/atom
symmetry: No. 225
formation energy from the elements: 0.27 eV/atom